1.
# DyCo2B2

A geometry-optimized DyCo2B2 structure (PBE-GGA, OQMD via LeMat-Bulk).

a = 3.5445 Å, b = 3.5445 Å, c = 5.3121 Å
α = 109.49°, β = 109.49°, γ = 90.00°
Element x y z (fractional)
B1 0.6514 0.6514 0.3027
B2 0.3486 0.3486 0.6973
Co1 0.7500 0.2500 0.5000
Co2 0.2500 0.7500 0.5000
Dy1 0.0000 0.0000 0.0000

Output
Space-group type   I4/mmm

---

2.
# DyCoB4

A geometry-optimized DyCoB4 structure (PBE-GGA, OQMD via LeMat-Bulk).

a = 4.7302 Å, b = 4.7302 Å, c = 4.7302 Å
α = 141.18°, β = 111.93°, γ = 81.22°
Element x y z (fractional)
B1 0.5824 0.2492 0.3333
B2 0.0841 0.7508 0.3333
B3 0.9159 0.2492 0.6667
B4 0.4176 0.7508 0.6667
Co1 0.5000 0.5000 0.0000
Dy1 0.0000 0.0000 0.0000

Output
E above lowest polymorph   196 meV per atom
Space-group type   Immm

---

3.
# DyCoB4

A geometry-optimized DyCoB4 structure (PBE-GGA, OQMD via LeMat-Bulk).

a = 3.1582 Å, b = 3.1582 Å, c = 6.4731 Å
α = 90.00°, β = 90.00°, γ = 120.00°
Element x y z (fractional)
B1 0.6667 0.3333 0.1992
B2 0.3333 0.6667 0.1992
B3 0.6667 0.3333 0.8008
B4 0.3333 0.6667 0.8008
Co1 0.0000 0.0000 0.0000
Dy1 0.0000 0.0000 0.5000

Output
E above lowest polymorph   0 meV per atom
Space-group type   P6/mmm

---

4.
# DyCo4B

A geometry-optimized DyCo4B structure (PBE-GGA, OQMD via LeMat-Bulk).

a = 4.9954 Å, b = 4.9954 Å, c = 6.8391 Å
α = 90.00°, β = 90.00°, γ = 120.00°
Element x y z (fractional)
B1 0.6667 0.3333 0.5000
B2 0.3333 0.6667 0.5000
Co1 0.6667 0.3333 0.0000
Co2 0.3333 0.6667 0.0000
Co3 0.5000 0.0000 0.2873
Co4 0.0000 0.5000 0.2873
Co5 0.5000 0.5000 0.2873
Co6 0.5000 0.0000 0.7127
Co7 0.0000 0.5000 0.7127
Co8 0.5000 0.5000 0.7127
Dy1 0.0000 0.0000 0.0000
Dy2 0.0000 0.0000 0.5000

Output
Space-group type   P6/mmm

---

5.
# Dy2Co7B3

A geometry-optimized Dy2Co7B3 structure (PBE-GGA, OQMD via LeMat-Bulk).

a = 5.0214 Å, b = 5.0214 Å, c = 12.7462 Å
α = 90.00°, β = 90.00°, γ = 120.01°
Element x y z (fractional)
B1 0.3333 0.6667 0.2687
B2 0.6667 0.3333 0.2687
B3 0.3333 0.6667 0.5000
B4 0.6667 0.3333 0.5000
B5 0.3334 0.6667 0.7313
B6 0.6667 0.3334 0.7313
Co1 0.6667 0.3333 0.0000
Co2 0.3333 0.6667 0.0000
Co3 0.5000 0.5000 0.1548
Co4 0.5000 0.0000 0.1548
Co5 0.0000 0.5000 0.1548
Co6 0.5000 0.5000 0.3844
Co7 0.5000 0.0000 0.3844
Co8 0.0000 0.5000 0.3844
Co9 0.5000 0.0000 0.6156
Co10 0.0000 0.5000 0.6156
Co11 0.5000 0.5000 0.6156
Co12 0.5000 0.0000 0.8452
Co13 0.0000 0.5000 0.8452
Co14 0.5000 0.5000 0.8452
Dy1 0.0000 0.0000 0.0000
Dy2 0.0000 0.0000 0.2608
Dy3 0.0000 0.0000 0.5000
Dy4 0.0000 0.0000 0.7392

Output
Space-group type   P6/mmm

---

6.
# Dy4Co3B6

A geometry-optimized Dy4Co3B6 structure (PBE-GGA, OQMD via LeMat-Bulk).

a = 5.2994 Å, b = 5.2994 Å, c = 7.9301 Å
α = 90.00°, β = 109.52°, γ = 120.00°
Element x y z (fractional)
B1 0.0000 0.1680 0.5000
B2 0.6680 0.1680 0.5000
B3 0.6680 0.5000 0.5000
B4 0.3320 0.5000 0.5000
B5 0.0000 0.8320 0.5000
B6 0.3320 0.8320 0.5000
Co1 0.0000 0.0000 0.0000
Co2 0.2253 0.1126 0.3379
Co3 0.7747 0.8874 0.6621
Dy1 0.8223 0.4112 0.2335
Dy2 0.4893 0.7447 0.2340
Dy3 0.5107 0.2553 0.7660
Dy4 0.1777 0.5888 0.7665

Output
Space-group type   R-3m

---

7.
# Dy3Co11B4

A geometry-optimized Dy3Co11B4 structure (PBE-GGA, OQMD via LeMat-Bulk).

a = 5.0216 Å, b = 5.0216 Å, c = 9.7484 Å
α = 90.00°, β = 90.00°, γ = 119.99°
Element x y z (fractional)
B1 0.6666 0.3333 0.3492
B2 0.3333 0.6666 0.3492
B3 0.3334 0.6667 0.6508
B4 0.6667 0.3334 0.6508
Co1 0.3334 0.6667 0.0000
Co2 0.6667 0.3334 0.0000
Co3 0.0000 0.5000 0.2021
Co4 0.5000 0.0000 0.2021
Co5 0.5000 0.5000 0.2021
Co6 0.5000 0.5000 0.5000
Co7 0.5000 0.0000 0.5000
Co8 0.0000 0.5000 0.5000
Co9 0.5000 0.5000 0.7979
Co10 0.0000 0.5000 0.7979
Co11 0.5000 0.0000 0.7979
Dy1 0.0000 0.0000 0.0000
Dy2 0.0000 0.0000 0.3415
Dy3 0.0000 0.0000 0.6584

Output
Space-group type   P6/mmm

---

8.
# DyCo3B2

A geometry-optimized DyCo3B2 structure (PBE-GGA, OQMD via LeMat-Bulk).

a = 5.0013 Å, b = 5.0013 Å, c = 3.0081 Å
α = 90.00°, β = 90.00°, γ = 120.01°
Element x y z (fractional)
B1 0.6667 0.3334 0.0000
B2 0.3334 0.6667 0.0000
Co1 0.5000 0.0000 0.5000
Co2 0.5000 0.5000 0.5000
Co3 0.0000 0.5000 0.5000
Dy1 0.0000 0.0000 0.0000

Output
Space-group type   P6/mmm

---

9.
# DyEr2Co2B2N3

A geometry-optimized DyEr2Co2B2N3 structure (PBE-GGA, OQMD via LeMat-Bulk).

a = 10.2191 Å, b = 10.2191 Å, c = 10.2191 Å
α = 160.59°, β = 160.59°, γ = 27.58°
Element x y z (fractional)
B1 0.1934 0.1934 0.0000
B2 0.8066 0.8066 0.0000
Co1 0.7500 0.2500 0.5000
Co2 0.2500 0.7500 0.5000
Dy1 0.0000 0.0000 0.0000
Er1 0.3762 0.3762 0.0000
Er2 0.6238 0.6238 0.0000
N1 0.1176 0.1176 0.0000
N2 0.5000 0.5000 0.0000
N3 0.8824 0.8824 0.0000

Output
Space-group type   I4/mmm

---

| no. | density (kg/m3) | total energy (eV per atom) |
| --- | --- | --- |
| 1 | 8522 | -7.00 |
| 2 | 7352 | -6.54 |
| 3 | 7860 | -6.74 |
| 4 | 9192 | -6.92 |
| 5 | 9188 | -6.98 |
| 6 | 8321 | -6.49 |
| 7 | 9196 | -6.96 |
| 8 | 9198 | -7.04 |
| 9 | 9565 | -7.87 |